! HSCl2F, optimized geometry, DFT PBEsol; values from VASP
&SYSTEM
  ibrav = 0, nat = 5, ntyp = 4
/
ATOMIC_SPECIES
H 1.01 H.upf
S 32.06 S.upf
F 19.00 F.upf
Cl 35.45 Cl.upf
CELL_PARAMETERS angstrom
3.2124 0.0000 0.0000
0.0000 4.6058 0.0000
0.0000 0.0000 4.6058
ATOMIC_POSITIONS angstrom
H 0.0000 0.0000 0.0000
S 1.6062 0.0000 0.0000
F 1.6062 2.3029 2.3029
Cl 0.0000 0.0000 2.3029
Cl 0.0000 2.3029 0.0000
! **Volume**: 68.1 Å³ per cell
! **SG**: P4/mmm
! **Raw total energy**: -2.214 eV/atom
! **Crystal system**: tetragonal